The following is a DFT calculation (PBE) of an optimized crystal structure of KCaIN2.

The space group is P4/mmm (No. 123) and the conventional cell measures 4.917, 4.917 and 6.215 Å, with angles of 90.00, 90.00 and 90.00 degrees. The inequivalent atoms are K at (0.000, 0.000, 0.000), Ca at (0.500, 0.500, 0.500), I at (0.000, 0.000, 0.500) and N at (0.000, 0.500, 0.000).

Its crystal system is tetragonal. The calculation puts the excess energy over the best structure of this formula in the dataset at 755.8 meV per atom. The uncorrected formation energy is 1.20 eV per atom.



The following is a DFT calculation (PBE) of an optimized crystal structure of LiGdDyBi.

The space group is F-43m (No. 216) and the conventional cell measures 7.551, 7.551 and 7.551 Å, with angles of 90.00, 90.00 and 90.00 degrees. The inequivalent atoms are Li at (0.000, 0.000, 0.000), Gd at (0.250, 0.250, 0.250), Dy at (0.250, 0.250, 0.750) and Bi at (0.000, 0.000, 0.500).

Its crystal system is cubic. As for the formation energy from the elements: -0.318 eV per atom.



The following is a DFT calculation (PBE) of an optimized crystal structure of Tl4Co.

The space group is P-42_1c (No. 114) and the conventional cell measures 6.225, 6.225 and 6.514 Å, with angles of 90.00, 90.00 and 90.00 degrees. The inequivalent atoms are Tl at (0.177, 0.253, 0.323) and Co at (0.000, 0.000, 0.000).

Its crystal system is tetragonal. As for the formation energy from the elements: 0.260 eV per atom. The calculation puts the excess energy over the best structure of this formula in the dataset at 76.6 meV per atom.



The following is a DFT calculation (PBE) of an optimized crystal structure of AcLaBi4.

The space group is F-43m (No. 216) and the conventional cell measures 9.408, 9.408 and 9.408 Å, with angles of 90.00, 90.00 and 90.00 degrees. The inequivalent atoms are Ac at (0.000, 0.000, 0.000), La at (0.250, 0.250, 0.750) and Bi at (0.125, 0.125, 0.375).

Its crystal system is cubic. As for the formation energy from the elements: -0.366 eV per atom.



The following is a DFT calculation (PBE) of an optimized crystal structure of BaNF2.

The space group is I-42d (No. 122) and the conventional cell measures 5.092, 5.092 and 15.172 Å, with angles of 90.00, 90.00 and 90.00 degrees. The inequivalent atoms are Ba at (0.000, 0.000, 0.000), N at (0.000, 0.000, 0.500) and F at (0.202, 0.250, 0.125).

Its crystal system is tetragonal. The calculation puts the excess energy over the best structure of this formula in the dataset at 217.8 meV per atom. The uncorrected formation energy is -1.33 eV per atom.



Ordered magnetic moment results: 0.80 1.96 0.27 0.11 0.75; unit μB per atom.
Ordered VASP energy results: -15.29 -103.00 -30.54 -107.03 -77.23; unit eV for the cell shown.